Entry 1:
The following is a PBE-GGA calculation of an optimized crystal structure of La6CoHg2, from Alexandria via LeMat-Bulk.

The structure belongs to space group P4_2/mnm (No. 136); the cell edges are 7.364, 7.364 and 12.367 Å and the angles 90.00°, 90.00° and 90.00°. The inequivalent atoms are La at (0.191, 0.191, 0.167), La at (0.240, 0.760, 0.000), Co at (0.000, 0.000, 0.000) and Hg at (0.000, 0.000, 0.372).

The formation energy is -0.07 eV/atom. The uncorrected energy comes out at -4.214 eV per atom.


Entry 2:
The following is a PBE-GGA calculation of an optimized crystal structure of Y2BeF, from Alexandria via LeMat-Bulk.

The structure belongs to space group I-42d (No. 122); the cell edges are 5.461, 5.461 and 12.295 Å and the angles 90.00°, 90.00° and 90.00°. The inequivalent atoms are Y at (0.210, 0.250, 0.125), Be at (0.000, 0.000, 0.500) and F at (0.000, 0.000, 0.000).

As for the uncorrected formation energy: -330 kJ/mol of formula units. The uncorrected energy comes out at -5.487 eV per atom.


Entry 3:
The following is a PBE-GGA calculation of an optimized crystal structure of CaCoNiAs2, from Alexandria via LeMat-Bulk.

The structure belongs to space group I-4m2 (No. 119); the cell edges are 4.050, 4.050 and 10.196 Å and the angles 90.00°, 90.00° and 90.00°. The inequivalent atoms are Ca at (0.000, 0.000, 0.000), Co at (0.000, 0.500, 0.250), Ni at (0.000, 0.500, 0.750) and As at (0.000, 0.000, 0.367).

The formation energy is -0.62 eV/atom. The uncorrected energy comes out at -5.456 eV per atom.


Entry 4:
The following is a PBE-GGA calculation of an optimized crystal structure of TmNi2Rh, from Alexandria via LeMat-Bulk.

The structure belongs to space group Fm-3m (No. 225); the cell edges are 6.200, 6.200 and 6.200 Å and the angles 90.00°, 90.00° and 90.00°. The inequivalent atoms are Tm at (0.000, 0.000, 0.000), Ni at (0.250, 0.250, 0.250) and Rh at (0.000, 0.000, 0.500).

The formation energy is -0.30 eV/atom. The uncorrected energy comes out at -6.151 eV per atom.


Entry 5:
The following is a PBE-GGA calculation of an optimized crystal structure of In2TcMo, from Alexandria via LeMat-Bulk.

The structure belongs to space group C2/m (No. 12); the cell edges are 5.765, 9.150 and 2.910 Å and the angles 90.00°, 109.31° and 90.00°. The inequivalent atoms are In at (0.250, 0.250, 0.000), Tc at (0.000, 0.000, 0.500) and Mo at (0.000, 0.500, 0.500).

The formation energy is 0.49 eV/atom. The uncorrected energy comes out at -6.182 eV per atom.


Entry 6:
The following is a PBE-GGA calculation of an optimized crystal structure of AlZnCd2, from Alexandria via LeMat-Bulk.

The structure belongs to space group Cm (No. 8); the cell edges are 9.301, 2.971 and 5.933 Å and the angles 90.00°, 104.32° and 90.00°. The inequivalent atoms are Al at (0.000, 0.000, 0.000), Zn at (0.235, 0.500, 0.207), Cd at (0.246, 0.000, 0.746) and Cd at (0.484, 0.000, 0.459).

The formation energy is 0.09 eV/atom. The uncorrected energy comes out at -1.620 eV per atom.